Entry 1:
The following is a DFT calculation (GGA-PBE) of an optimized crystal structure of Cu2AgW.

```
Cu2AgW
1.0
4.822 -1.329 0.000
4.822 1.329 0.000
-1.355 0.000 4.520
Cu Ag W
2 1 1
Cartesian
0.000 0.000 0.000 Cu
6.450 0.000 1.450 Cu
3.887 0.000 2.213 Ag
1.271 0.000 3.819 W
```

Computed properties:
Energy of formation ... 174 kJ/mol of formula units
E above lowest polymorph ... 0.1879 eV per atom
Space group ... Cm, No. 8



Entry 2:
The following is a DFT calculation (GGA-PBE) of an optimized crystal structure of Cu2AgW.

```
Cu2AgW
1.0
2.713 0.000 0.000
0.000 2.713 0.000
0.000 0.000 7.848
Cu Ag W
2 1 1
Cartesian
0.000 0.000 0.000 Cu
1.356 1.356 1.670 Cu
1.356 1.356 5.844 Ag
0.000 0.000 3.571 W
```

Computed properties:
Energy of formation ... 123 kJ/mol of formula units
E above lowest polymorph ... 0.0571 eV per atom
Space group ... P4mm, No. 99



Entry 3:
The following is a DFT calculation (GGA-PBE) of an optimized crystal structure of Cu2AgW.

```
Cu2AgW
1.0
3.052 -3.638 0.000
3.052 3.638 0.000
-0.008 0.000 2.630
Cu Ag W
2 1 1
Cartesian
1.526 1.819 0.000 Cu
1.526 -1.819 0.000 Cu
-0.004 0.000 1.315 Ag
3.048 0.000 1.315 W
```

Computed properties:
Energy of formation ... 169 kJ/mol of formula units
E above lowest polymorph ... 0.1754 eV per atom
Space group ... C2/m, No. 12



Entry 4:
The following is a DFT calculation (GGA-PBE) of an optimized crystal structure of CuAgW2.

```
CuAgW2
1.0
0.000 3.164 3.164
3.164 0.000 3.164
3.164 3.164 0.000
Cu Ag W
1 1 2
Cartesian
0.000 0.000 0.000 Cu
1.582 1.582 1.582 Ag
3.164 3.164 3.164 W
4.746 4.746 4.746 W
```

Computed properties:
Energy of formation ... 268 kJ/mol of formula units
E above lowest polymorph ... 0.3922 eV per atom
Space group ... F-43m, No. 216



Entry 5:
The following is a DFT calculation (GGA-PBE) of an optimized crystal structure of CuAgW2.

```
CuAgW2
1.0
1.379 0.796 9.491
-1.379 0.796 9.491
0.000 -1.593 9.491
Cu Ag W
1 1 2
Cartesian
0.000 0.000 0.000 Cu
0.000 0.000 14.236 Ag
0.000 0.000 7.247 W
0.000 0.000 21.225 W
```

Computed properties:
Energy of formation ... 206 kJ/mol of formula units
E above lowest polymorph ... 0.2315 eV per atom
Space group ... R-3m, No. 166



Entry 6:
The following is a DFT calculation (GGA-PBE) of an optimized crystal structure of CuAg2W.

```
CuAg2W
1.0
3.771 0.000 0.000
0.000 3.771 0.000
0.000 0.000 4.529
Cu Ag W
1 2 1
Cartesian
0.000 0.000 0.000 Cu
0.000 1.885 2.265 Ag
1.885 0.000 2.265 Ag
1.885 1.885 0.000 W
```

Computed properties:
Energy of formation ... 338 kJ/mol of formula units
E above lowest polymorph ... 0.5388 eV per atom
Space group ... P4/mmm, No. 123